Cs3NiI5: relaxed, GGA-PBE.

Properties
Energy: -0.10380 Ha/atom
Density of states at the Fermi level: 0.856 states/eV per atom
Energy relative to the elements, uncorrected: -1.04 eV/atom
Total moment: 2.0 μB per formula unit

a b c (Å): 10.4700 10.4700 16.3030
angles (deg): 90.00 90.00 90.00
With the nearest neighbours (Å) after each atom.
Space group I4/mcm (No. 140)
One atom of each set of equivalent atoms:
Cs  0.0000  0.0000  0.2500  10 I 4.08-4.34
Cs  0.1608  0.3392  0.0000  8 I 3.90-4.03
Ni  0.0000  0.5000  0.2500  4 I 2.57
I  0.0000  0.0000  0.0000  6 Cs 3.93-4.08
I  0.1380  0.3620  0.3452  1 Ni 2.57